Arrangement one

An optimized crystal structure of CaPr2C. Source: the Alexandria database, functional PBE-GGA.

Geometry as CIF:
```
data_CaPr2C
_cell_length_a 6.511
_cell_length_b 3.759
_cell_length_c 10.170
_cell_angle_alpha 90.00
_cell_angle_beta 101.99
_cell_angle_gamma 90.00
_symmetry_space_group_name_H-M 'C 1 m 1'
_symmetry_Int_Tables_number 8
loop_
_symmetry_equiv_pos_as_xyz
'x,y,z'
'x,-y,z'
'x+1/2,y+1/2,z'
'x+1/2,-y+1/2,z'
loop_
_atom_site_label
_atom_site_fract_x
_atom_site_fract_y
_atom_site_fract_z
Ca1 0.000 0.000 0.000
Pr1 0.048 0.500 0.645
Pr2 0.289 0.500 0.359
C1 0.168 0.000 0.500
```

***

Arrangement two

An optimized crystal structure of CaPr2C. Source: the Alexandria database, functional PBE-GGA.

Geometry as CIF:
```
data_CaPr2C
_cell_length_a 3.7282
_cell_length_b 3.7282
_cell_length_c 31.0591
_cell_angle_alpha 90.00
_cell_angle_beta 90.00
_cell_angle_gamma 120.00
_symmetry_space_group_name_H-M 'R -3 m'
_symmetry_Int_Tables_number 166
_symmetry_space_group_name_Hall '-R 3 2"'
loop_
_atom_site_label
_atom_site_fract_x
_atom_site_fract_y
_atom_site_fract_z
Ca1 0.0000 0.0000 0.0000
Pr1 0.0000 0.0000 0.1209
C1 0.0000 0.0000 0.5000
```

***

Least stable of them? arrangement two.

***

Arrangement one

An optimized crystal structure of RbCa3C. Source: the Alexandria database, functional PBE-GGA.

Geometry as CIF:
```
data_RbCa3C
_cell_length_a 5.429
_cell_length_b 5.429
_cell_length_c 5.429
_cell_angle_alpha 90.00
_cell_angle_beta 90.00
_cell_angle_gamma 90.00
_symmetry_space_group_name_H-M 'P m -3 m'
_symmetry_Int_Tables_number 221
_symmetry_space_group_name_Hall '-P 4 2 3'
loop_
_atom_site_label
_atom_site_fract_x
_atom_site_fract_y
_atom_site_fract_z
Rb1 0.000 0.000 0.000
Ca1 0.000 0.500 0.500
C1 0.500 0.500 0.500
```

***

Arrangement two

An optimized crystal structure of RbCa3C. Source: the Alexandria database, functional PBE-GGA.

Geometry as CIF:
```
data_RbCa3C
_cell_length_a 6.000
_cell_length_b 6.000
_cell_length_c 6.000
_cell_angle_alpha 90.00
_cell_angle_beta 90.00
_cell_angle_gamma 90.00
_symmetry_space_group_name_H-M 'P m -3 m'
_symmetry_Int_Tables_number 221
_symmetry_space_group_name_Hall '-P 4 2 3'
loop_
_atom_site_label
_atom_site_fract_x
_atom_site_fract_y
_atom_site_fract_z
Rb1 0.000 0.000 0.000
Ca1 0.000 0.000 0.500
C1 0.500 0.500 0.500
```

***

Least stable of them? arrangement two.

***

Arrangement one

An optimized crystal structure of CaReC3. Source: the Alexandria database, functional PBE-GGA.

Geometry as CIF:
```
data_CaReC3
_cell_length_a 4.055
_cell_length_b 4.055
_cell_length_c 4.055
_cell_angle_alpha 90.00
_cell_angle_beta 90.00
_cell_angle_gamma 90.00
_symmetry_space_group_name_H-M 'P m -3 m'
_symmetry_Int_Tables_number 221
_symmetry_space_group_name_Hall '-P 4 2 3'
loop_
_atom_site_label
_atom_site_fract_x
_atom_site_fract_y
_atom_site_fract_z
Ca1 0.000 0.000 0.000
Re1 0.500 0.500 0.500
C1 0.000 0.500 0.500
```

***

Arrangement two

An optimized crystal structure of CaReC3. Source: the Alexandria database, functional PBE-GGA.

Geometry as CIF:
```
data_CaReC3
_cell_length_a 4.021
_cell_length_b 4.021
_cell_length_c 4.021
_cell_angle_alpha 90.00
_cell_angle_beta 90.00
_cell_angle_gamma 90.00
_symmetry_space_group_name_H-M 'P m -3 m'
_symmetry_Int_Tables_number 221
_symmetry_space_group_name_Hall '-P 4 2 3'
loop_
_atom_site_label
_atom_site_fract_x
_atom_site_fract_y
_atom_site_fract_z
Ca1 0.000 0.000 0.000
Re1 0.500 0.500 0.500
C1 0.000 0.000 0.500
```

***

Least stable of them? arrangement two.

***

Arrangement one

An optimized crystal structure of CaReC2. Source: the Alexandria database, functional PBE-GGA.

Geometry as CIF:
```
data_CaReC2
_cell_length_a 5.678
_cell_length_b 5.678
_cell_length_c 5.678
_cell_angle_alpha 90.00
_cell_angle_beta 90.00
_cell_angle_gamma 90.00
_symmetry_space_group_name_H-M 'F m -3 m'
_symmetry_Int_Tables_number 225
_symmetry_space_group_name_Hall '-F 4 2 3'
loop_
_atom_site_label
_atom_site_fract_x
_atom_site_fract_y
_atom_site_fract_z
Ca1 0.000 0.000 0.000
Re1 0.000 0.000 0.500
C1 0.250 0.250 0.250
```

***

Arrangement two

An optimized crystal structure of CaReC2. Source: the Alexandria database, functional PBE-GGA.

Geometry as CIF:
```
data_CaReC2
_cell_length_a 3.1092
_cell_length_b 3.1092
_cell_length_c 17.4346
_cell_angle_alpha 90.00
_cell_angle_beta 90.00
_cell_angle_gamma 120.00
_symmetry_space_group_name_H-M 'R -3 m'
_symmetry_Int_Tables_number 166
_symmetry_space_group_name_Hall '-R 3 2"'
loop_
_atom_site_label
_atom_site_fract_x
_atom_site_fract_y
_atom_site_fract_z
Ca1 0.0000 0.0000 0.0000
Re1 0.0000 0.0000 0.5000
C1 0.0000 0.0000 0.2359
```

***

Least stable of them? arrangement one.

***

Arrangement one

An optimized crystal structure of Ca3ReC. Source: the Alexandria database, functional PBE-GGA.

Geometry as CIF:
```
data_Ca3ReC
_cell_length_a 4.971
_cell_length_b 4.971
_cell_length_c 4.971
_cell_angle_alpha 90.00
_cell_angle_beta 90.00
_cell_angle_gamma 90.00
_symmetry_space_group_name_H-M 'P m -3 m'
_symmetry_Int_Tables_number 221
_symmetry_space_group_name_Hall '-P 4 2 3'
loop_
_atom_site_label
_atom_site_fract_x
_atom_site_fract_y
_atom_site_fract_z
Ca1 0.000 0.000 0.500
Re1 0.500 0.500 0.500
C1 0.000 0.000 0.000
```

***

Arrangement two

An optimized crystal structure of Ca3ReC. Source: the Alexandria database, functional PBE-GGA.

Geometry as CIF:
```
data_Ca3ReC
_cell_length_a 5.425
_cell_length_b 5.425
_cell_length_c 5.425
_cell_angle_alpha 90.00
_cell_angle_beta 90.00
_cell_angle_gamma 90.00
_symmetry_space_group_name_H-M 'P m -3 m'
_symmetry_Int_Tables_number 221
_symmetry_space_group_name_Hall '-P 4 2 3'
loop_
_atom_site_label
_atom_site_fract_x
_atom_site_fract_y
_atom_site_fract_z
Ca1 0.000 0.000 0.500
Re1 0.000 0.000 0.000
C1 0.500 0.500 0.500
```

***

Least stable of them? arrangement two.

***

Arrangement one

An optimized crystal structure of Ca3RuC. Source: the Alexandria database, functional PBE-GGA.

Geometry as CIF:
```
data_Ca3RuC
_cell_length_a 4.932
_cell_length_b 4.932
_cell_length_c 4.932
_cell_angle_alpha 90.00
_cell_angle_beta 90.00
_cell_angle_gamma 90.00
_symmetry_space_group_name_H-M 'P m -3 m'
_symmetry_Int_Tables_number 221
_symmetry_space_group_name_Hall '-P 4 2 3'
loop_
_atom_site_label
_atom_site_fract_x
_atom_site_fract_y
_atom_site_fract_z
Ca1 0.000 0.000 0.500
Ru1 0.500 0.500 0.500
C1 0.000 0.000 0.000
```

***

Arrangement two

An optimized crystal structure of Ca3RuC. Source: the Alexandria database, functional PBE-GGA.

Geometry as CIF:
```
data_Ca3RuC
_cell_length_a 5.302
_cell_length_b 5.302
_cell_length_c 5.302
_cell_angle_alpha 90.00
_cell_angle_beta 90.00
_cell_angle_gamma 90.00
_symmetry_space_group_name_H-M 'P m -3 m'
_symmetry_Int_Tables_number 221
_symmetry_space_group_name_Hall '-P 4 2 3'
loop_
_atom_site_label
_atom_site_fract_x
_atom_site_fract_y
_atom_site_fract_z
Ca1 0.000 0.000 0.500
Ru1 0.000 0.000 0.000
C1 0.500 0.500 0.500
```

***

Least stable of them? arrangement two.